! MnFe2I | the Alexandria database | GGA-PBE | relaxed; values from VASP
! - formation energy from raw total energies (eV per atom) = 0.757
! - M_tot (μB per atom) = 1.4745
! - relative energy among the computed polymorphs (meV/atom) = 0.0
! - SG = Fm-3m
! - V (Å³/atom) = 13.82
&SYSTEM
  ibrav = 0, nat = 4, ntyp = 3
/
ATOMIC_SPECIES
Mn 54.94 Mn.upf
Fe 55.84 Fe.upf
I 126.90 I.upf
CELL_PARAMETERS angstrom
0.000 3.023 3.023
3.023 0.000 3.023
3.023 3.023 0.000
ATOMIC_POSITIONS crystal
Mn 0.000 0.000 0.000
Fe 0.250 0.250 0.250
Fe 0.750 0.750 0.750
I 0.500 0.500 0.500



! Tm3GaNi3 | the Alexandria database | GGA-PBE | relaxed; values from VASP
! - energy of formation from the pure elements (kcal/mol of atoms) = -9.514
! - M_tot (μB per atom) = 0.0000
! - relative energy among the computed polymorphs (meV/atom) = 152.1
! - SG = P6_3/m
! - V (Å³/atom) = 19.07
&SYSTEM
  ibrav = 0, nat = 14, ntyp = 3
/
ATOMIC_SPECIES
Tm 168.93 Tm.upf
Ga 69.72 Ga.upf
Ni 58.69 Ni.upf
CELL_PARAMETERS angstrom
8.416 0.000 0.000
-4.208 7.288 0.000
0.000 0.000 4.353
ATOMIC_POSITIONS crystal
Tm 0.087 0.406 0.250
Tm 0.319 0.913 0.250
Tm 0.406 0.319 0.750
Tm 0.594 0.681 0.250
Tm 0.681 0.087 0.750
Tm 0.913 0.594 0.750
Ga 0.333 0.667 0.750
Ga 0.667 0.333 0.250
Ni 0.036 0.183 0.750
Ni 0.147 0.964 0.750
Ni 0.183 0.147 0.250
Ni 0.817 0.853 0.750
Ni 0.853 0.036 0.250
Ni 0.964 0.817 0.250



! ScCuOs2 | the Alexandria database | GGA-PBE | relaxed; values from VASP
! - energy of formation from the pure elements (kcal/mol of atoms) = 1.537
! - M_tot (μB per atom) = 0.0000
! - relative energy among the computed polymorphs (meV/atom) = 92.1
! - SG = Pmmm
! - V (Å³/atom) = 15.03
&SYSTEM
  ibrav = 0, nat = 4, ntyp = 3
/
ATOMIC_SPECIES
Sc 44.96 Sc.upf
Cu 63.55 Cu.upf
Os 190.23 Os.upf
CELL_PARAMETERS angstrom
3.018 0.000 0.000
0.000 4.407 0.000
0.000 0.000 4.521
ATOMIC_POSITIONS crystal
Sc 0.000 0.000 0.000
Cu 0.500 0.000 0.500
Os 0.000 0.500 0.500
Os 0.500 0.500 0.000



! CdHgRh2 | the Alexandria database | GGA-PBE | relaxed; values from VASP
! - energy of formation from the pure elements (kcal/mol of atoms) = 10.459
! - M_tot (μB per atom) = 0.1879
! - SG = I-42d
! - V (Å³/atom) = 19.02
&SYSTEM
  ibrav = 0, nat = 8, ntyp = 3
/
ATOMIC_SPECIES
Cd 112.41 Cd.upf
Hg 200.59 Hg.upf
Rh 102.91 Rh.upf
CELL_PARAMETERS angstrom
-3.715 3.715 2.755
3.715 -3.715 2.755
3.715 3.715 -2.755
ATOMIC_POSITIONS crystal
Cd 0.000 0.000 0.000
Cd 0.750 0.250 0.500
Hg 0.250 0.750 0.500
Hg 0.500 0.500 0.000
Rh 0.124 0.625 0.999
Rh 0.375 0.374 0.499
Rh 0.626 0.125 0.001
Rh 0.875 0.876 0.501



! KLa4Al | the Alexandria database | GGA-PBE | relaxed; values from VASP
! - energy of formation from the pure elements (kcal/mol of atoms) = 9.299
! - M_tot (μB per atom) = 0.0002
! - SG = F-43m
! - V (Å³/atom) = 36.13
&SYSTEM
  ibrav = 0, nat = 6, ntyp = 3
/
ATOMIC_SPECIES
K 39.10 K.upf
La 138.91 La.upf
Al 26.98 Al.upf
CELL_PARAMETERS angstrom
0.000 4.768 4.768
4.768 0.000 4.768
4.768 4.768 0.000
ATOMIC_POSITIONS crystal
K 0.000 0.000 0.000
La 0.142 0.619 0.619
La 0.619 0.142 0.619
La 0.619 0.619 0.142
La 0.619 0.619 0.619
Al 0.250 0.250 0.250



! Ba2CeOs2N6 | the Alexandria database | GGA-PBE | relaxed; values from VASP
! - formation energy from raw total energies (eV per atom) = -0.465
! - M_tot (μB per atom) = 0.1389
! - SG = R-3m
! - V (Å³/atom) = 18.54
&SYSTEM
  ibrav = 0, nat = 11, ntyp = 4
/
ATOMIC_SPECIES
Ba 137.33 Ba.upf
Ce 140.12 Ce.upf
Os 190.23 Os.upf
N 14.01 N.upf
CELL_PARAMETERS angstrom
3.049 1.760 6.332
-3.049 1.760 6.332
0.000 -3.521 6.332
ATOMIC_POSITIONS crystal
Ba 0.213 0.213 0.213
Ba 0.787 0.787 0.787
Ce 0.000 0.000 0.000
Os 0.401 0.401 0.401
Os 0.599 0.599 0.599
N 0.248 0.747 0.747
N 0.253 0.253 0.752
N 0.253 0.752 0.253
N 0.747 0.248 0.747
N 0.747 0.747 0.248
N 0.752 0.253 0.253



! CsLiNF2 | the Alexandria database | GGA-PBE | relaxed; values from VASP
! - formation energy from raw total energies (eV per atom) = -1.014
! - M_tot (μB per atom) = 0.6062
! - relative energy among the computed polymorphs (meV/atom) = 0.0
! - SG = P4/mmm
! - V (Å³/atom) = 15.75
&SYSTEM
  ibrav = 0, nat = 5, ntyp = 4
/
ATOMIC_SPECIES
Cs 132.91 Cs.upf
Li 6.94 Li.upf
N 14.01 N.upf
F 19.00 F.upf
CELL_PARAMETERS angstrom
4.223 0.000 0.000
0.000 4.223 0.000
0.000 0.000 4.416
ATOMIC_POSITIONS crystal
Cs 0.000 0.000 0.000
Li 0.500 0.500 0.500
N 0.500 0.500 0.000
F 0.000 0.500 0.500
F 0.500 0.000 0.500



! Y3Ge4 | the Alexandria database | GGA-PBE | relaxed; values from VASP
! - energy of formation from the pure elements (kcal/mol of atoms) = -18.668
! - M_tot (μB per atom) = 0.0000
! - SG = Cmcm
! - V (Å³/atom) = 22.38
&SYSTEM
  ibrav = 0, nat = 14, ntyp = 2
/
ATOMIC_SPECIES
Y 88.91 Y.upf
Ge 72.64 Ge.upf
CELL_PARAMETERS angstrom
2.038 -5.365 0.000
2.038 5.365 0.000
0.000 0.000 14.330
ATOMIC_POSITIONS crystal
Y 0.045 0.955 0.750
Y 0.330 0.670 0.597
Y 0.330 0.670 0.903
Y 0.670 0.330 0.097
Y 0.670 0.330 0.403
Y 0.955 0.045 0.250
Ge 0.000 0.000 0.000
Ge 0.000 0.000 0.500
Ge 0.228 0.772 0.250
Ge 0.381 0.619 0.108
Ge 0.381 0.619 0.392
Ge 0.619 0.381 0.608
Ge 0.619 0.381 0.892
Ge 0.772 0.228 0.750